Dy3Tm4Ir4 after structural relaxation, computed with PBE.

a = 9.164 Å, b = 9.164 Å, c = 9.164 Å
α = 155.89°, β = 124.31°, γ = 61.55°
Atoms (fractional coordinates):
Dy: 0.000 0.000 0.000
Dy: 0.399 0.899 0.500
Dy: 0.601 0.101 0.500
Tm: 0.023 0.333 0.691
Tm: 0.358 0.667 0.691
Tm: 0.642 0.333 0.309
Tm: 0.977 0.667 0.309
Ir: 0.247 0.247 0.000
Ir: 0.288 0.500 0.788
Ir: 0.712 0.500 0.212
Ir: 0.753 0.753 0.000

Symmetry: No. 71
Density of states at the Fermi level (states/eV/cell): 6.854
DFT formation energy (meV per atom): -728
Raw total energy (eV per atom): -6.831

***

Dy2TmIr after structural relaxation, computed with PBE.

a = 7.189 Å, b = 9.253 Å, c = 6.358 Å
α = 90.00°, β = 90.00°, γ = 90.00°
Atoms (fractional coordinates):
Dy: 0.178 0.062 0.176
Dy: 0.178 0.438 0.176
Dy: 0.322 0.562 0.676
Dy: 0.322 0.938 0.676
Dy: 0.678 0.062 0.324
Dy: 0.678 0.438 0.324
Dy: 0.822 0.562 0.824
Dy: 0.822 0.938 0.824
Tm: 0.035 0.250 0.631
Tm: 0.465 0.750 0.131
Tm: 0.535 0.250 0.869
Tm: 0.965 0.750 0.369
Ir: 0.115 0.750 0.959
Ir: 0.385 0.250 0.459
Ir: 0.615 0.750 0.541
Ir: 0.885 0.250 0.041

Symmetry: No. 62
Density of states at the Fermi level (states/eV/cell): 15.964
Excess energy over the best structure of this formula in the dataset (meV per atom): 0
DFT formation energy (meV per atom): -594
Raw total energy (eV per atom): -6.228

***

Dy2TmIr after structural relaxation, computed with PBE.

a = 9.555 Å, b = 9.555 Å, c = 9.555 Å
α = 23.08°, β = 23.08°, γ = 23.08°
Atoms (fractional coordinates):
Dy: 0.226 0.226 0.226
Dy: 0.774 0.774 0.774
Tm: 0.000 0.000 0.000
Ir: 0.500 0.500 0.500

Symmetry: No. 166
Density of states at the Fermi level (states/eV/cell): 4.626
Excess energy over the best structure of this formula in the dataset (meV per atom): 310
DFT formation energy (meV per atom): -284
Raw total energy (eV per atom): -5.918

***

Dy8TmIr6 after structural relaxation, computed with PBE.

a = 7.659 Å, b = 7.659 Å, c = 7.659 Å
α = 65.27°, β = 65.27°, γ = 65.27°
Atoms (fractional coordinates):
Dy: 0.057 0.720 0.387
Dy: 0.167 0.167 0.167
Dy: 0.280 0.613 0.943
Dy: 0.387 0.057 0.720
Dy: 0.613 0.943 0.280
Dy: 0.720 0.387 0.057
Dy: 0.833 0.833 0.833
Dy: 0.943 0.280 0.613
Tm: 0.500 0.500 0.500
Ir: 0.111 0.444 0.776
Ir: 0.224 0.889 0.556
Ir: 0.444 0.776 0.111
Ir: 0.556 0.224 0.889
Ir: 0.776 0.111 0.444
Ir: 0.889 0.556 0.224

Symmetry: No. 148
Density of states at the Fermi level (states/eV/cell): 9.046
DFT formation energy (meV per atom): -800
Raw total energy (eV per atom): -7.097

***

DyTm3Ir after structural relaxation, computed with PBE.

a = 5.359 Å, b = 5.359 Å, c = 5.359 Å
α = 90.00°, β = 90.00°, γ = 90.00°
Atoms (fractional coordinates):
Dy: 0.000 0.000 0.000
Tm: 0.000 0.500 0.500
Tm: 0.500 0.000 0.500
Tm: 0.500 0.500 0.000
Ir: 0.500 0.500 0.500

Symmetry: No. 221
Density of states at the Fermi level (states/eV/cell): 6.463
Excess energy over the best structure of this formula in the dataset (meV per atom): 132
DFT formation energy (meV per atom): -288
Raw total energy (eV per atom): -5.664

***

DyV2Ir after structural relaxation, computed with PBE.

a = 4.494 Å, b = 4.494 Å, c = 4.494 Å
α = 60.00°, β = 60.00°, γ = 60.00°
Atoms (fractional coordinates):
Dy: 0.000 0.000 0.000
V: 0.250 0.250 0.250
V: 0.750 0.750 0.750
Ir: 0.500 0.500 0.500

Symmetry: No. 225
Density of states at the Fermi level (states/eV/cell): 4.844
DFT formation energy (meV per atom): 7
Raw total energy (eV per atom): -7.918

***

DyY3Ir4 after structural relaxation, computed with PBE.

a = 3.591 Å, b = 4.743 Å, c = 9.483 Å
α = 90.00°, β = 90.00°, γ = 90.00°
Atoms (fractional coordinates):
Dy: 0.000 0.000 0.000
Y: 0.000 0.000 0.500
Y: 0.000 0.500 0.250
Y: 0.000 0.500 0.750
Ir: 0.500 0.000 0.249
Ir: 0.500 0.000 0.751
Ir: 0.500 0.500 0.000
Ir: 0.500 0.500 0.500

Symmetry: No. 47
Density of states at the Fermi level (states/eV/cell): 1.433
DFT formation energy (meV per atom): -793
Raw total energy (eV per atom): -8.223

***

DyY8Ir6 after structural relaxation, computed with PBE.

a = 7.688 Å, b = 7.688 Å, c = 7.688 Å
α = 65.30°, β = 65.30°, γ = 65.30°
Atoms (fractional coordinates):
Dy: 0.000 0.000 0.000
Y: 0.112 0.778 0.446
Y: 0.222 0.554 0.888
Y: 0.334 0.334 0.334
Y: 0.446 0.112 0.778
Y: 0.554 0.888 0.222
Y: 0.666 0.666 0.666
Y: 0.778 0.446 0.112
Y: 0.888 0.222 0.554
Ir: 0.056 0.388 0.724
Ir: 0.276 0.944 0.612
Ir: 0.388 0.724 0.056
Ir: 0.612 0.276 0.944
Ir: 0.724 0.056 0.388
Ir: 0.944 0.612 0.276

Symmetry: No. 148
Density of states at the Fermi level (states/eV/cell): 9.856
DFT formation energy (meV per atom): -759
Raw total energy (eV per atom): -8.058

***

Dy3Y4Ir4 after structural relaxation, computed with PBE.

a = 9.307 Å, b = 9.307 Å, c = 9.307 Å
α = 156.36°, β = 124.36°, γ = 61.28°
Atoms (fractional coordinates):
Dy: 0.000 0.000 0.000
Dy: 0.400 0.900 0.500
Dy: 0.600 0.100 0.500
Y: 0.022 0.333 0.689
Y: 0.356 0.667 0.689
Y: 0.644 0.333 0.311
Y: 0.978 0.667 0.311
Ir: 0.253 0.253 0.000
Ir: 0.286 0.500 0.786
Ir: 0.714 0.500 0.214
Ir: 0.747 0.747 0.000

Symmetry: No. 71
Density of states at the Fermi level (states/eV/cell): 7.477
DFT formation energy (meV per atom): -646
Raw total energy (eV per atom): -7.473

***

DyYIr after structural relaxation, computed with PBE.

a = 4.810 Å, b = 4.810 Å, c = 6.798 Å
α = 90.16°, β = 90.16°, γ = 89.99°
Atoms (fractional coordinates):
Dy: 0.000 0.000 0.250
Dy: 0.000 0.000 0.750
Y: 0.500 0.500 0.250
Y: 0.500 0.500 0.750
Ir: 0.000 0.500 0.000
Ir: 0.500 0.000 0.500

Symmetry: No. 15
Density of states at the Fermi level (states/eV/cell): 4.530
Excess energy over the best structure of this formula in the dataset (meV per atom): 0
DFT formation energy (meV per atom): -688
Raw total energy (eV per atom): -7.330

***

Dy2YIr9 after structural relaxation, computed with PBE.

a = 9.302 Å, b = 9.302 Å, c = 9.302 Å
α = 33.16°, β = 33.16°, γ = 33.16°
Atoms (fractional coordinates):
Dy: 0.139 0.139 0.139
Dy: 0.861 0.861 0.861
Y: 0.000 0.000 0.000
Ir: 0.083 0.582 0.582
Ir: 0.333 0.333 0.333
Ir: 0.418 0.418 0.917
Ir: 0.418 0.917 0.418
Ir: 0.500 0.500 0.500
Ir: 0.582 0.083 0.582
Ir: 0.582 0.582 0.083
Ir: 0.667 0.667 0.667
Ir: 0.917 0.418 0.418

Symmetry: No. 166
Density of states at the Fermi level (states/eV/cell): 12.085
DFT formation energy (meV per atom): -584
Raw total energy (eV per atom): -8.536

***

DyY4Ir5 after structural relaxation, computed with PBE.

a = 3.359 Å, b = 3.359 Å, c = 17.903 Å
α = 90.00°, β = 90.00°, γ = 90.00°
Atoms (fractional coordinates):
Dy: 0.000 0.000 0.000
Y: 0.000 0.000 0.200
Y: 0.000 0.000 0.400
Y: 0.000 0.000 0.600
Y: 0.000 0.000 0.800
Ir: 0.500 0.500 0.099
Ir: 0.500 0.500 0.300
Ir: 0.500 0.500 0.500
Ir: 0.500 0.500 0.700
Ir: 0.500 0.500 0.901

Symmetry: No. 123
Density of states at the Fermi level (states/eV/cell): 3.672
DFT formation energy (meV per atom): -779
Raw total energy (eV per atom): -8.255